A relaxed Sr2LiZn crystal, computed with PBE.

Properties
volume: 138 Å³ per cell
VASP energy: -1.7267 eV per atom

Structure (CIF):
```
data_Sr2LiZn
_chemical_formula_sum 'Sr2 Li1 Zn1'
_cell_length_a 4.5940
_cell_length_b 4.8124
_cell_length_c 6.6531
_cell_angle_alpha 90.00
_cell_angle_beta 110.00
_cell_angle_gamma 90.00
_space_group_name_H-M_alt 'P 1 m 1'
_space_group_IT_number 6
_space_group_name_Hall 'P -2y'
loop_
_atom_site_label
_atom_site_type_symbol
_atom_site_fract_x
_atom_site_fract_y
_atom_site_fract_z
Sr1 Sr 0.0000 0.0000 0.0000
Sr2 Sr 0.2878 0.5000 0.5755
Li1 Li 0.7001 0.0000 0.3997
Zn1 Zn 0.5810 0.5000 0.1620
```